1.
VASP calculation (GGA-PBE) on a geometry-optimized Tb9Pm2Sc structure.

```
Tb9Pm2Sc
1.0
5.029 0.000 0.000
0.000 5.029 0.000
0.000 0.000 15.041
Tb Pm Sc
9 2 1
direct
0.000 0.000 0.000
0.000 0.000 0.330
0.000 0.000 0.670
0.000 0.500 0.161
0.000 0.500 0.500
0.000 0.500 0.839
0.500 0.000 0.161
0.500 0.000 0.500
0.500 0.000 0.839
0.500 0.500 0.331
0.500 0.500 0.669
0.500 0.500 0.000
```

The uncorrected energy comes out at -4.76 eV per atom.

---

2.
VASP calculation (GGA-PBE) on a geometry-optimized Sr2Tl4Pb structure.

```
Sr2Tl4Pb
1.0
-2.940 2.940 8.531
2.940 -2.940 8.531
2.940 2.940 -8.531
Sr Tl Pb
2 4 1
direct
0.124 0.124 0.000
0.876 0.876 0.000
0.000 0.500 0.500
0.320 0.320 0.000
0.500 0.000 0.500
0.680 0.680 0.000
0.500 0.500 0.000
```

The uncorrected energy comes out at -2.31 eV per atom.

---

3.
VASP calculation (GGA-PBE) on a geometry-optimized SmDySc4 structure.

```
SmDySc4
1.0
3.278 -9.260 0.000
3.278 9.260 0.000
0.000 0.000 5.334
Sm Dy Sc
2 2 8
direct
0.124 0.876 0.750
0.876 0.124 0.250
0.374 0.626 0.250
0.626 0.374 0.750
0.042 0.459 0.750
0.211 0.294 0.750
0.294 0.211 0.250
0.459 0.042 0.250
0.541 0.958 0.750
0.706 0.789 0.750
0.789 0.706 0.250
0.958 0.541 0.250
```

The uncorrected energy comes out at -5.71 eV per atom.

---

4.
VASP calculation (GGA-PBE) on a geometry-optimized Ho3Mg2Ga structure.

```
Ho3Mg2Ga
1.0
3.674 0.000 0.000
0.000 3.674 0.000
0.000 0.000 11.265
Ho Mg Ga
3 2 1
direct
0.000 0.000 0.000
0.000 0.000 0.349
0.000 0.000 0.651
0.500 0.500 0.171
0.500 0.500 0.829
0.500 0.500 0.500
```

The uncorrected energy comes out at -3.57 eV per atom.

---

5.
VASP calculation (GGA-PBE) on a geometry-optimized MgNiPd4 structure.

```
MgNiPd4
1.0
0.000 4.593 7.364
2.746 0.000 7.364
2.746 4.593 0.000
Mg Ni Pd
2 2 8
direct
0.125 0.125 0.125
0.875 0.875 0.875
0.375 0.375 0.375
0.625 0.625 0.625
0.035 0.526 0.226
0.226 0.712 0.035
0.288 0.774 0.474
0.474 0.965 0.288
0.526 0.035 0.712
0.712 0.226 0.526
0.774 0.288 0.965
0.965 0.474 0.774
```

The uncorrected energy comes out at -4.86 eV per atom.

---

6.
VASP calculation (GGA-PBE) on a geometry-optimized NiP structure.

```
NiP
1.0
4.878 0.000 0.000
0.000 6.926 0.000
0.000 0.000 6.038
Ni P
8 8
direct
0.015 0.100 0.192
0.015 0.400 0.692
0.485 0.600 0.192
0.485 0.900 0.692
0.515 0.100 0.308
0.515 0.400 0.808
0.985 0.600 0.308
0.985 0.900 0.808
0.173 0.114 0.557
0.173 0.386 0.057
0.327 0.614 0.557
0.327 0.886 0.057
0.673 0.114 0.943
0.673 0.386 0.443
0.827 0.614 0.943
0.827 0.886 0.443
```

The uncorrected energy comes out at -6.03 eV per atom.

---

7.
VASP calculation (GGA-PBE) on a geometry-optimized Mn2Fe4Si structure.

```
Mn2Fe4Si
1.0
-2.796 2.796 2.716
2.796 -2.796 2.716
2.796 2.796 -2.716
Mn Fe Si
2 4 1
direct
0.000 0.500 0.500
0.500 0.000 0.500
0.000 0.000 0.500
0.000 0.500 0.000
0.500 0.000 0.000
0.500 0.500 0.500
0.000 0.000 0.000
```

The value obtained for the formation energy from raw total energies is 141 kJ/mol of formula units.

---

8.
VASP calculation (GGA-PBE) on a geometry-optimized Zr3NiIr structure.

```
Zr3NiIr
1.0
4.741 0.000 0.000
0.000 4.741 0.000
0.000 0.000 4.741
Zr Ni Ir
3 1 1
direct
0.000 0.000 0.500
0.000 0.500 0.000
0.500 0.000 0.000
0.000 0.000 0.000
0.500 0.500 0.500
```

The uncorrected energy comes out at -7.74 eV per atom.

---

9.
VASP calculation (GGA-PBE) on a geometry-optimized MnReBr2 structure.

```
MnReBr2
1.0
3.798 0.000 0.000
0.000 3.187 0.000
-1.402 0.000 7.908
Mn Re Br
1 1 2
direct
0.000 0.000 0.000
0.450 0.500 0.881
0.341 0.000 0.636
0.689 0.500 0.203
```

The value obtained for the formation energy from raw total energies is 101 kJ/mol of formula units.

---

10.
VASP calculation (GGA-PBE) on a geometry-optimized LiNd2In5 structure.

```
LiNd2In5
1.0
-3.311 3.311 4.662
3.311 -3.311 4.662
3.311 3.311 -4.662
Li Nd In
1 2 5
direct
0.000 0.000 0.000
0.001 0.501 0.500
0.501 0.001 0.500
0.002 0.002 0.501
0.002 0.501 0.000
0.501 0.002 0.000
0.501 0.501 0.499
0.502 0.502 0.000
```

The uncorrected energy comes out at -3.58 eV per atom.

---

11.
VASP calculation (GGA-PBE) on a geometry-optimized Ac2NpN5 structure.

```
Ac2NpN5
1.0
5.837 0.000 0.000
0.000 5.837 0.000
0.000 0.000 4.089
Ac Np N
2 1 5
direct
0.000 0.500 0.000
0.500 0.000 0.000
0.000 0.000 0.500
0.000 0.000 0.000
0.244 0.244 0.500
0.244 0.756 0.500
0.756 0.244 0.500
0.756 0.756 0.500
```

The value obtained for the formation energy from raw total energies is -466 kJ/mol of formula units.

---

12.
VASP calculation (GGA-PBE) on a geometry-optimized LiLaCl2 structure.

```
LiLaCl2
1.0
4.746 0.000 0.000
0.000 4.746 0.000
0.000 0.000 3.761
Li La Cl
1 1 2
direct
0.000 0.000 0.000
0.500 0.500 0.000
0.000 0.500 0.500
0.500 0.000 0.500
```

The value obtained for the formation energy from raw total energies is -521 kJ/mol of formula units.

---

> Number 9 is which compound?

MnReBr2